Below is a geometry-optimized Sn4HgS8 structure, with properties calculated at the GGA-PBE level.

```
Sn4HgS8
1.0
0.000 5.479 5.479
5.479 0.000 5.479
5.479 5.479 0.000
Sn Hg S
4 1 8
direct
0.381 0.381 0.381
0.381 0.381 0.856
0.381 0.856 0.381
0.856 0.381 0.381
0.000 0.000 0.000
0.135 0.135 0.135
0.135 0.135 0.595
0.135 0.595 0.135
0.136 0.621 0.621
0.595 0.135 0.135
0.621 0.136 0.621
0.621 0.621 0.136
0.621 0.621 0.621
```

Values from the calculation:
For the final energy, the calculation gives -53.0 eV for the cell shown. The theoretical density comes out at 4704 kg/m3. Its crystal system is cubic.